Record 1
This record from Alexandria via LeMat-Bulk describes Na3LaHo2Te6 after structural relaxation. The functional is PBE.

```
Na3LaHo2Te6
1.0
3.887 -6.735 0.000
3.887 6.735 0.000
-2.600 0.000 7.557
Na La Ho Te
3 1 2 6
direct
0.000 0.000 0.000
0.337 0.663 0.000
0.663 0.337 0.000
0.500 0.500 0.500
0.167 0.833 0.500
0.833 0.167 0.500
0.076 0.422 0.266
0.232 0.232 0.734
0.422 0.076 0.266
0.578 0.924 0.734
0.768 0.768 0.266
0.924 0.578 0.734
```

Properties
V ... 33.0 Å³ per atom
E_form (uncorrected) ... -1338.7 meV per atom
Space group ... C2/m, No. 12

=====

Record 2
This record from Alexandria via LeMat-Bulk describes NaLaHoTe3 after structural relaxation. The functional is PBE.

```
NaLaHoTe3
1.0
8.849 0.000 0.000
0.000 4.454 0.000
-2.727 0.000 9.556
Na La Ho Te
2 2 2 6
direct
0.094 0.250 0.085
0.906 0.750 0.915
0.205 0.250 0.735
0.795 0.750 0.265
0.327 0.750 0.343
0.673 0.250 0.657
0.091 0.250 0.380
0.272 0.750 0.002
0.439 0.750 0.664
0.561 0.250 0.336
0.728 0.250 0.998
0.909 0.750 0.620
```

Properties
V ... 31.4 Å³ per atom
N(E_F) ... 6.5 states/eV per cell
E_form (uncorrected) ... -1233.6 meV per atom
Space group ... P2_1/m, No. 11

=====

Record 3
This record from Alexandria via LeMat-Bulk describes Na2LaHoTe4 after structural relaxation. The functional is PBE.

```
Na2LaHoTe4
1.0
7.849 0.000 0.000
0.000 4.527 0.000
-2.608 0.000 7.548
Na La Ho Te
2 1 1 4
direct
0.000 0.000 0.000
0.500 0.500 0.000
0.000 0.500 0.500
0.500 0.000 0.500
0.257 0.000 0.739
0.266 0.500 0.267
0.734 0.500 0.733
0.743 0.000 0.261
```

Properties
V ... 33.5 Å³ per atom
E_form (uncorrected) ... -1351.5 meV per atom
Space group ... P2/m, No. 10

=====

Record 4
This record from Alexandria via LeMat-Bulk describes Na4La3HoTe8 after structural relaxation. The functional is PBE.

```
Na4La3HoTe8
1.0
4.590 2.650 7.529
-4.590 2.650 7.529
0.000 -5.301 7.529
Na La Ho Te
4 3 1 8
direct
0.000 0.000 0.000
0.000 0.500 0.500
0.500 0.000 0.500
0.500 0.500 0.000
0.000 0.000 0.500
0.000 0.500 0.000
0.500 0.000 0.000
0.500 0.500 0.500
0.248 0.248 0.248
0.257 0.740 0.740
0.260 0.260 0.743
0.260 0.743 0.260
0.740 0.257 0.740
0.740 0.740 0.257
0.743 0.260 0.260
0.752 0.752 0.752
```

Properties
V ... 34.4 Å³ per atom
E_form (uncorrected) ... -1377.7 meV per atom
Space group ... R-3m, No. 166

=====

Record 5
This record from Alexandria via LeMat-Bulk describes Na2La3HoTe6 after structural relaxation. The functional is PBE.

```
Na2La3HoTe6
1.0
3.942 -6.817 0.000
3.942 6.817 0.000
-2.615 0.000 7.355
Na La Ho Te
2 3 1 6
direct
0.165 0.835 0.000
0.835 0.165 0.000
0.000 0.000 0.500
0.329 0.671 0.500
0.671 0.329 0.500
0.500 0.500 0.000
0.095 0.421 0.762
0.257 0.257 0.245
0.421 0.095 0.762
0.579 0.905 0.238
0.743 0.743 0.755
0.905 0.579 0.238
```

Properties
V ... 32.9 Å³ per atom
N(E_F) ... 4.5 states/eV per cell
E_form (uncorrected) ... -1414.3 meV per atom
Space group ... C2/m, No. 12

=====

Record 6
This record from Alexandria via LeMat-Bulk describes La2HoNb after structural relaxation. The functional is PBE.

```
La2HoNb
1.0
1.672 0.965 11.984
-1.672 0.965 11.984
0.000 -1.930 11.984
La Ho Nb
2 1 1
direct
0.080 0.080 0.080
0.920 0.920 0.920
0.500 0.500 0.500
0.000 0.000 0.000
```

Properties
V ... 29.0 Å³ per atom
N(E_F) ... 6.6 states/eV per cell
Formation enthalpy at 0 K ... 0.566 eV per atom
Space group ... R-3m, No. 166